No. 1
Entry from Alexandria: YAlCd2 after structural relaxation (GGA-PBEsol).

a = 4.3639 Å, b = 4.3639 Å, c = 4.5084 Å
α = 90.00°, β = 90.00°, γ = 90.00°
Closest atoms and distances in Å follow each position.
Element x y z (fractional)
Y (0.5000, 0.5000, 0.5000)  4 Al 3.09, 8 Cd 3.14
Al (0.0000, 0.0000, 0.5000)  4 Y 3.09, 8 Cd 3.14
Cd (0.0000, 0.5000, 0.0000)  4 Cd 3.09, 4 Y 3.14, 4 Al 3.14
Cd (0.5000, 0.0000, 0.0000)  4 Cd 3.09, 4 Al 3.14, 4 Y 3.14

Results
ΔE_f: -7.159 kcal/mol of atoms
total moment: 0.00 μB per cell

---

No. 2
Entry from Alexandria: YAlCd2 after structural relaxation (GGA-PBEsol).

a = 4.4693 Å, b = 4.4693 Å, c = 5.3412 Å
α = 114.73°, β = 114.73°, γ = 90.00°
Closest atoms and distances in Å follow each position.
Element x y z (fractional)
Y (0.5000, 0.5000, 0.0000)  8 Cd 3.10, 4 Al 3.16
Al (0.0000, 0.0000, 0.0000)  8 Cd 3.10, 4 Y 3.16
Cd (0.2500, 0.7500, 0.5000)  4 Al 3.10, 4 Y 3.10, 4 Cd 3.16
Cd (0.7500, 0.2500, 0.5000)  4 Al 3.10, 4 Y 3.10, 4 Cd 3.16

Results
ΔE_f: -5.598 kcal/mol of atoms
total moment: 0.00 μB per cell

---

No. 3
Entry from Alexandria: Y2AlCd after structural relaxation (GGA-PBEsol).

a = 3.6179 Å, b = 5.1412 Å, c = 5.1402 Å
α = 90.00°, β = 89.99°, γ = 90.00°
Closest atoms and distances in Å follow each position.
Element x y z (fractional)
Y (0.8751, 0.0000, 0.8756)  4 Al 3.14, 4 Cd 3.14
Y (0.8749, 0.5000, 0.3745)  4 Cd 3.14, 4 Al 3.14
Al (0.3750, 0.0000, 0.3758)  8 Y 3.14
Cd (0.3750, 0.5000, 0.8741)  8 Y 3.14

Results
ΔE_f: -9.370 kcal/mol of atoms
total moment: 0.00 μB per cell

---

No. 4
Entry from Alexandria: Y2AlCd after structural relaxation (GGA-PBEsol).

a = 3.3833 Å, b = 3.3833 Å, c = 10.3315 Å
α = 80.58°, β = 80.58°, γ = 60.00°
Closest atoms and distances in Å follow each position.
Element x y z (fractional)
Y (0.9953, 0.9953, 0.0141)  3 Cd 3.25, 9 Y 3.38-3.48
Y (0.7566, 0.7566, 0.7302)  3 Al 3.16, 9 Y 3.38-3.48
Al (0.5049, 0.5049, 0.4854)  3 Cd 2.93, 3 Y 3.16
Cd (0.2432, 0.2432, 0.2704)  3 Al 2.93, 3 Y 3.25

Results
ΔE_f: 0.144 kcal/mol of atoms
total moment: 0.00 μB per cell

---

No. 5
Entry from Alexandria: Y2AlCd after structural relaxation (GGA-PBEsol).

a = 5.1330 Å, b = 5.1330 Å, c = 5.1330 Å
α = 60.00°, β = 60.00°, γ = 60.00°
Closest atoms and distances in Å follow each position.
Element x y z (fractional)
Y (0.7500, 0.7500, 0.7500)  4 Cd 3.14, 4 Al 3.14
Y (0.2500, 0.2500, 0.2500)  4 Cd 3.14, 4 Al 3.14
Al (0.5000, 0.5000, 0.5000)  8 Y 3.14
Cd (0.0000, 0.0000, 0.0000)  8 Y 3.14

Results
ΔE_f: -9.434 kcal/mol of atoms
total moment: 0.00 μB per cell

---

No. 6
Entry from Alexandria: Y2AlCd after structural relaxation (GGA-PBEsol).

a = 3.5419 Å, b = 5.0943 Å, c = 6.2474 Å
α = 101.39°, β = 90.00°, γ = 110.34°
Closest atoms and distances in Å follow each position.
Element x y z (fractional)
Y (0.7529, 0.5058, 0.7593)  3 Al 3.08-3.10, 3 Cd 3.13-3.15
Y (0.2471, 0.4942, 0.2407)  3 Al 3.08-3.10, 3 Cd 3.13-3.15
Al (0.5000, 0.0000, 0.0000)  6 Y 3.08-3.10
Cd (0.0000, 0.0000, 0.5000)  6 Y 3.13-3.15

Results
ΔE_f: -3.936 kcal/mol of atoms
total moment: 0.00 μB per cell

---

No. 7
Entry from Alexandria: Zr2AlCd after structural relaxation (GGA-PBEsol).

a = 4.3206 Å, b = 4.3206 Å, c = 5.2005 Å
α = 114.54°, β = 114.54°, γ = 90.00°
Closest atoms and distances in Å follow each position.
Element x y z (fractional)
Al (0.5000, 0.5000, 0.0000)  8 Zr 3.02, 4 Cd 3.06
Zr (0.7500, 0.2500, 0.5000)  4 Cd 3.02, 4 Al 3.02, 4 Zr 3.06
Zr (0.2500, 0.7500, 0.5000)  4 Cd 3.02, 4 Al 3.02, 4 Zr 3.06
Cd (0.0000, 0.0000, 0.0000)  8 Zr 3.02, 4 Al 3.06

Results
ΔE_f: -6.719 kcal/mol of atoms
total moment: 0.00 μB per cell

---

No. 8
Entry from Alexandria: ZrAl2Cd after structural relaxation (GGA-PBEsol).

a = 4.0580 Å, b = 4.2078 Å, c = 4.2078 Å
α = 90.00°, β = 90.00°, γ = 90.00°
Closest atoms and distances in Å follow each position.
Element x y z (fractional)
Al (0.0000, 0.0000, 0.5000)  4 Cd 2.92, 4 Zr 2.92, 4 Al 2.98
Al (0.0000, 0.5000, 0.0000)  4 Cd 2.92, 4 Zr 2.92, 4 Al 2.98
Zr (0.5000, 0.0000, 0.0000)  8 Al 2.92, 4 Cd 2.98
Cd (0.5000, 0.5000, 0.5000)  8 Al 2.92, 4 Zr 2.98

Results
ΔE_f: -8.951 kcal/mol of atoms
total moment: 0.00 μB per cell